VASP calculation (PBE) on crystalline YTlPbBr6 at its relaxed geometry.

Unit cell a=7.6429 b=7.6429 c=14.2316 alpha=90.00 beta=90.00 gamma=120.00
Space group P-31c (No. 163)
Unique sites:
Y 0.3333 0.6667 0.2500 x2
Tl 0.0000 0.0000 0.0000 x2
Pb 0.3333 0.6667 0.7500 x2
Br 0.0232 0.3761 0.1347 x12

## Properties
E_form (uncorrected) ... -1.351 eV per atom
Electronic total energy ... -3.859 eV/atom